This record from Alexandria via LeMat-Bulk describes an optimized crystal structure of TlPIr. The functional is GGA-PBE.

```
data_TlPIr
_chemical_formula_sum 'Tl4 P4 Ir4'
_cell_length_a 6.228
_cell_length_b 6.228
_cell_length_c 6.228
_cell_angle_alpha 90.00
_cell_angle_beta 90.00
_cell_angle_gamma 90.00
_space_group_name_H-M_alt 'F -4 3 m'
_space_group_IT_number 216
_space_group_name_Hall 'F -4 2 3'
loop_
_atom_site_label
_atom_site_type_symbol
_atom_site_fract_x
_atom_site_fract_y
_atom_site_fract_z
Tl1 Tl 0.000 0.000 0.000
P1 P 0.000 0.000 0.500
Ir1 Ir 0.250 0.250 0.750
```

Results
The calculation puts the energy of formation at 0.388 eV/atom. The calculation puts the polymorph energy (0 for the lowest one) at 183 kJ/mol of formula units. Its density is 11.754 g cm⁻³.